## 1
Zr2MoHPt: relaxed, PBE.

Summary:
**Crystal system**: tetragonal

```
data_Zr2MoHPt
_cell_length_a 4.6353
_cell_length_b 4.6353
_cell_length_c 3.6058
_cell_angle_alpha 90.00
_cell_angle_beta 90.00
_cell_angle_gamma 90.00
_space_group_name_H-M_alt 'P 1'
_space_group_IT_number 1
_space_group_name_Hall 'P 1'
loop_
_atom_site_label
_atom_site_type_symbol
_atom_site_fract_x
_atom_site_fract_y
_atom_site_fract_z
Zr1 Zr 0.0000 0.5000 0.0000
Zr2 Zr 0.5000 0.0000 0.0000
Mo1 Mo 0.0000 0.0000 0.5000
H1 H 0.5000 0.5000 0.0000
Pt1 Pt 0.5000 0.5000 0.5000
```

=====

## 2
Zr2MoHPt: relaxed, PBE.

Summary:
**Crystal system**: tetragonal

```
data_Zr2MoHPt
_cell_length_a 4.6563
_cell_length_b 4.6563
_cell_length_c 3.5635
_cell_angle_alpha 90.00
_cell_angle_beta 90.00
_cell_angle_gamma 90.00
_space_group_name_H-M_alt 'P 1'
_space_group_IT_number 1
_space_group_name_Hall 'P 1'
loop_
_atom_site_label
_atom_site_type_symbol
_atom_site_fract_x
_atom_site_fract_y
_atom_site_fract_z
Zr1 Zr 0.0000 0.5000 0.0000
Zr2 Zr 0.5000 0.0000 0.0000
Mo1 Mo 0.0000 0.0000 0.5000
H1 H 0.0000 0.0000 0.0000
Pt1 Pt 0.5000 0.5000 0.5000
```

=====

Which of them is the most stable, and which is the least stable? 2 and 1, in that order.

=====

## 1
RbMoH3: relaxed, PBE.

Summary:
**Crystal system**: cubic

```
data_RbMoH3
_cell_length_a 4.0379
_cell_length_b 4.0379
_cell_length_c 4.0379
_cell_angle_alpha 90.00
_cell_angle_beta 90.00
_cell_angle_gamma 90.00
_space_group_name_H-M_alt 'P 1'
_space_group_IT_number 1
_space_group_name_Hall 'P 1'
loop_
_atom_site_label
_atom_site_type_symbol
_atom_site_fract_x
_atom_site_fract_y
_atom_site_fract_z
Rb1 Rb 0.0000 0.0000 0.0000
Mo1 Mo 0.5000 0.5000 0.5000
H1 H 0.0000 0.5000 0.5000
H2 H 0.5000 0.0000 0.5000
H3 H 0.5000 0.5000 0.0000
```

=====

## 2
RbMoH3: relaxed, PBE.

Summary:
**Crystal system**: cubic

```
data_RbMoH3
_cell_length_a 4.6444
_cell_length_b 4.6444
_cell_length_c 4.6444
_cell_angle_alpha 90.00
_cell_angle_beta 90.00
_cell_angle_gamma 90.00
_space_group_name_H-M_alt 'P 1'
_space_group_IT_number 1
_space_group_name_Hall 'P 1'
loop_
_atom_site_label
_atom_site_type_symbol
_atom_site_fract_x
_atom_site_fract_y
_atom_site_fract_z
Rb1 Rb 0.0000 0.0000 0.0000
Mo1 Mo 0.5000 0.5000 0.5000
H1 H 0.0000 0.0000 0.5000
H2 H 0.0000 0.5000 0.0000
H3 H 0.5000 0.0000 0.0000
```

=====

Which of them is the most stable, and which is the least stable? 1 and 2, in that order.

=====

## 1
RbMoH2: relaxed, PBE.

Summary:
**Crystal system**: cubic

```
data_RbMoH2
_cell_length_a 4.6995
_cell_length_b 4.6995
_cell_length_c 4.6995
_cell_angle_alpha 60.00
_cell_angle_beta 60.00
_cell_angle_gamma 60.00
_space_group_name_H-M_alt 'P 1'
_space_group_IT_number 1
_space_group_name_Hall 'P 1'
loop_
_atom_site_label
_atom_site_type_symbol
_atom_site_fract_x
_atom_site_fract_y
_atom_site_fract_z
Rb1 Rb 0.0000 0.0000 0.0000
Mo1 Mo 0.5000 0.5000 0.5000
H1 H 0.2500 0.2500 0.2500
H2 H 0.7500 0.7500 0.7500
```

=====

## 2
RbMoH2: relaxed, PBE.

Summary:
**Crystal system**: tetragonal

```
data_RbMoH2
_cell_length_a 5.5524
_cell_length_b 5.5524
_cell_length_c 5.5524
_cell_angle_alpha 118.81
_cell_angle_beta 118.81
_cell_angle_gamma 92.07
_space_group_name_H-M_alt 'P 1'
_space_group_IT_number 1
_space_group_name_Hall 'P 1'
loop_
_atom_site_label
_atom_site_type_symbol
_atom_site_fract_x
_atom_site_fract_y
_atom_site_fract_z
Rb1 Rb 0.0000 0.0000 0.0000
Rb2 Rb 0.7500 0.2500 0.5000
Mo1 Mo 0.2500 0.7500 0.5000
Mo2 Mo 0.5000 0.5000 0.0000
H1 H 0.2554 0.6250 0.1304
H2 H 0.3750 0.5054 0.6304
H3 H 0.4946 0.1250 0.8696
H4 H 0.8750 0.7446 0.3696
```

=====

Which of them is the most stable, and which is the least stable? 2 and 1, in that order.

=====

## 1
RbMo3H: relaxed, PBE.

Summary:
**Crystal system**: cubic

```
data_RbMo3H
_cell_length_a 4.3250
_cell_length_b 4.3250
_cell_length_c 4.3250
_cell_angle_alpha 90.00
_cell_angle_beta 90.00
_cell_angle_gamma 90.00
_space_group_name_H-M_alt 'P 1'
_space_group_IT_number 1
_space_group_name_Hall 'P 1'
loop_
_atom_site_label
_atom_site_type_symbol
_atom_site_fract_x
_atom_site_fract_y
_atom_site_fract_z
Rb1 Rb 0.0000 0.0000 0.0000
Mo1 Mo 0.0000 0.5000 0.5000
Mo2 Mo 0.5000 0.0000 0.5000
Mo3 Mo 0.5000 0.5000 0.0000
H1 H 0.5000 0.5000 0.5000
```

=====

## 2
RbMo3H: relaxed, PBE.

Summary:
**Crystal system**: cubic

```
data_RbMo3H
_cell_length_a 4.6879
_cell_length_b 4.6879
_cell_length_c 4.6879
_cell_angle_alpha 90.00
_cell_angle_beta 90.00
_cell_angle_gamma 90.00
_space_group_name_H-M_alt 'P 1'
_space_group_IT_number 1
_space_group_name_Hall 'P 1'
loop_
_atom_site_label
_atom_site_type_symbol
_atom_site_fract_x
_atom_site_fract_y
_atom_site_fract_z
Rb1 Rb 0.0000 0.0000 0.0000
Mo1 Mo 0.0000 0.0000 0.5000
Mo2 Mo 0.0000 0.5000 0.0000
Mo3 Mo 0.5000 0.0000 0.0000
H1 H 0.5000 0.5000 0.5000
```

=====

Which of them is the most stable, and which is the least stable? 1 and 2, in that order.

=====

## 1
RbTl2MoH: relaxed, PBE.

Summary:
**Crystal system**: tetragonal

```
data_RbTl2MoH
_cell_length_a 6.2539
_cell_length_b 6.2539
_cell_length_c 4.2467
_cell_angle_alpha 90.00
_cell_angle_beta 90.00
_cell_angle_gamma 90.00
_space_group_name_H-M_alt 'P 1'
_space_group_IT_number 1
_space_group_name_Hall 'P 1'
loop_
_atom_site_label
_atom_site_type_symbol
_atom_site_fract_x
_atom_site_fract_y
_atom_site_fract_z
Rb1 Rb 0.0000 0.0000 0.0000
Tl1 Tl 0.0000 0.5000 0.0000
Tl2 Tl 0.5000 0.0000 0.0000
Mo1 Mo 0.5000 0.5000 0.5000
H1 H 0.0000 0.0000 0.5000
```

=====

## 2
RbTl2MoH: relaxed, PBE.

Summary:
**Crystal system**: tetragonal

```
data_RbTl2MoH
_cell_length_a 5.7722
_cell_length_b 5.7722
_cell_length_c 3.6129
_cell_angle_alpha 90.00
_cell_angle_beta 90.00
_cell_angle_gamma 90.00
_space_group_name_H-M_alt 'P 1'
_space_group_IT_number 1
_space_group_name_Hall 'P 1'
loop_
_atom_site_label
_atom_site_type_symbol
_atom_site_fract_x
_atom_site_fract_y
_atom_site_fract_z
Rb1 Rb 0.0000 0.0000 0.0000
Tl1 Tl 0.0000 0.5000 0.5000
Tl2 Tl 0.5000 0.0000 0.5000
Mo1 Mo 0.5000 0.5000 0.0000
H1 H 0.5000 0.5000 0.5000
```

=====

Which of them is the most stable, and which is the least stable? 2 and 1, in that order.

=====

## 1
ReMoH: relaxed, PBE.

Summary:
**Crystal system**: orthorhombic

```
data_ReMoH
_cell_length_a 5.9723
_cell_length_b 4.6265
_cell_length_c 5.0064
_cell_angle_alpha 90.00
_cell_angle_beta 90.00
_cell_angle_gamma 90.00
_space_group_name_H-M_alt 'P 1'
_space_group_IT_number 1
_space_group_name_Hall 'P 1'
loop_
_atom_site_label
_atom_site_type_symbol
_atom_site_fract_x
_atom_site_fract_y
_atom_site_fract_z
Re1 Re 0.2497 0.2500 0.2494
Re2 Re 0.2503 0.7500 0.7494
Re3 Re 0.7497 0.2500 0.2506
Re4 Re 0.7503 0.7500 0.7506
Mo1 Mo 0.0006 0.2500 0.6901
Mo2 Mo 0.4994 0.7500 0.1901
Mo3 Mo 0.5006 0.2500 0.8099
Mo4 Mo 0.9994 0.7500 0.3099
H1 H 0.0005 0.7500 0.9451
H2 H 0.4995 0.2500 0.4451
H3 H 0.5005 0.7500 0.5549
H4 H 0.9995 0.2500 0.0549
```

=====

## 2
ReMoH: relaxed, PBE.

Summary:
**Crystal system**: trigonal

```
data_ReMoH
_cell_length_a 2.8527
_cell_length_b 2.8527
_cell_length_c 4.6379
_cell_angle_alpha 90.00
_cell_angle_beta 90.00
_cell_angle_gamma 120.00
_space_group_name_H-M_alt 'P 1'
_space_group_IT_number 1
_space_group_name_Hall 'P 1'
loop_
_atom_site_label
_atom_site_type_symbol
_atom_site_fract_x
_atom_site_fract_y
_atom_site_fract_z
Re1 Re 0.0000 0.0000 0.0000
Mo1 Mo 0.3333 0.6667 0.4693
H1 H 0.6667 0.3333 0.7315
```

=====

Which of them is the most stable, and which is the least stable? 2 and 1, in that order.